Material: Dy2Zn4Ni5
Method: DFT, PBE
State: optimized geometry

It has space group Fmmm (No. 69), with a = 5.293 Å, b = 8.746 Å, c = 15.012 Å, α = 90.00°, β = 90.00° and γ = 90.00°. The distinct sites, in fractional coordinates, are Dy at (0.000, 0.000, 0.127), Zn at (0.000, 0.158, 0.370), Ni at (0.000, 0.000, 0.500), Ni at (0.250, 0.250, 0.000) and Ni at (0.250, 0.250, 0.250).

The value obtained for the formation energy is -0.314 eV per atom. As for the final energy: -4.242 eV per atom. The calculation puts the size of the total moment at 0.0 μB/f.u. The calculated volume comes out at 173.7 Å³/f.u.


Material: Dy2Zn15Ni2
Method: DFT, PBE
State: optimized geometry

It has space group R-3m (No. 166, hexagonal axes), with a = 8.8649 Å, b = 8.8649 Å, c = 13.0926 Å, α = 90.00°, β = 90.00° and γ = 120.00°. The distinct sites, in fractional coordinates, are Dy at (0.0000, 0.0000, 0.1685), Zn at (0.0000, 0.2847, 0.5000), Zn at (0.0000, 0.5000, 0.0000), Zn at (0.0014, 0.5007, 0.6505) and Ni at (0.0000, 0.0000, 0.3976).

The value obtained for the formation energy is -0.228 eV per atom. As for the final energy: -2.326 eV per atom. The calculation puts the size of the total moment at 0.0 μB/f.u. The calculated volume comes out at 297.0 Å³/f.u.


Material: DyZn3Ni2
Method: DFT, PBE
State: optimized geometry

It has space group R-3m (No. 166, hexagonal axes), with a = 5.8892 Å, b = 5.8892 Å, c = 19.1467 Å, α = 90.00°, β = 90.00° and γ = 120.00°. The distinct sites, in fractional coordinates, are Dy at (0.0000, 0.0000, 0.2249), Zn at (0.0144, 0.5072, 0.2354), Ni at (0.0000, 0.0000, 0.0000) and Ni at (0.0000, 0.5000, 0.0000).

The value obtained for the formation energy is -0.115 eV per atom. As for the final energy: -3.446 eV per atom. The calculation puts the size of the total moment at 0.0 μB/f.u. The calculated volume comes out at 95.9 Å³/f.u.


Material: Dy3ZnNi
Method: DFT, PBE
State: optimized geometry

It has space group P2_1/c (No. 14), with a = 8.831 Å, b = 7.019 Å, c = 7.976 Å, α = 90.00°, β = 100.90° and γ = 90.00°. The distinct sites, in fractional coordinates, are Dy at (0.046, 0.010, 0.214), Dy at (0.267, 0.650, 0.091), Dy at (0.339, 0.176, 0.963), Zn at (0.434, 0.548, 0.805) and Ni at (0.061, 0.176, 0.521).

The value obtained for the formation energy is -0.278 eV per atom. The excess energy over the best structure of this formula in the dataset is 0.000 eV per atom. As for the final energy: -4.450 eV per atom. The calculation puts the size of the total moment at 0.0 μB/f.u. The calculated volume comes out at 121.4 Å³/f.u.